Mn3MoBr2O6: optimized geometry, PBE+U.

Output
theoretical density = 4.667 g/cm3
raw total energy = -6.4360 eV per atom
total magnetic moment = 13.00 μB per cell

Structure (CIF):
```
data_Mn3MoBr2O6
_space_group_name_H-M_alt 'P 1'
_space_group_IT_number 1
_space_group_name_Hall 'P 1'
_cell_length_a 5.911
_cell_length_b 6.265
_cell_length_c 6.003
_cell_angle_alpha 121.45
_cell_angle_beta 77.84
_cell_angle_gamma 90.00
loop_
_atom_site_label
_atom_site_type_symbol
_atom_site_fract_x
_atom_site_fract_y
_atom_site_fract_z
_atom_site_occupancy
O1 O 0.681 0.288 0.122 1
O2 O 0.319 0.712 0.878 1
O3 O 0.658 0.803 0.607 1
O4 O 0.319 0.166 0.878 1
O5 O 0.342 0.197 0.393 1
O6 O 0.681 0.834 0.122 1
Mo1 Mo 0.500 0.000 0.000 1
Mn1 Mn 0.500 0.000 0.500 1
Mn2 Mn 0.500 0.500 0.500 1
Mn3 Mn 0.000 0.500 0.000 1
Br1 Br 0.844 0.288 0.577 1
Br2 Br 0.156 0.712 0.423 1
```